# PBE-GGA Ce2CdBr, optimized geometry
# Total DFT energy (no corrections) ... -4.14 eV per atom
# Raw formation energy ... -529 meV/atom
# Energy above the most stable polymorph in this dataset ... 0 meV/atom
# Crystal system ... tetragonal
# Spin magnetization ... 2.88 μB per formula unit
data_Ce2CdBr
_chemical_formula_sum 'Ce2 Cd1 Br1'
_cell_length_a 3.5116
_cell_length_b 3.5116
_cell_length_c 8.5966
_cell_angle_alpha 90.00
_cell_angle_beta 90.00
_cell_angle_gamma 90.00
_space_group_name_H-M_alt 'P 1'
_space_group_IT_number 1
loop_
_space_group_symop_operation_xyz
'x,y,z'
loop_
_atom_site_label
_atom_site_fract_x
_atom_site_fract_y
_atom_site_fract_z
Cd1 0.5000 0.5000 0.5000
Ce1 0.0000 0.0000 0.7564
Ce2 0.0000 0.0000 0.2436
Br1 0.5000 0.5000 0.0000

# PBE-GGA Ce2CdBr, optimized geometry
# Total DFT energy (no corrections) ... -4.10 eV per atom
# Raw formation energy ... -484 meV/atom
# Energy above the most stable polymorph in this dataset ... 45 meV/atom
# Crystal system ... trigonal
# Spin magnetization ... 2.50 μB per formula unit
data_Ce2CdBr
_chemical_formula_sum 'Ce2 Cd1 Br1'
_cell_length_a 4.4101
_cell_length_b 4.4101
_cell_length_c 7.4759
_cell_angle_alpha 72.85
_cell_angle_beta 72.85
_cell_angle_gamma 60.00
_space_group_name_H-M_alt 'P 1'
_space_group_IT_number 1
loop_
_space_group_symop_operation_xyz
'x,y,z'
loop_
_atom_site_label
_atom_site_fract_x
_atom_site_fract_y
_atom_site_fract_z
Ce1 0.7589 0.7589 0.7234
Br1 0.5000 0.5000 0.5000
Ce2 0.2411 0.2411 0.2766
Cd1 0.0000 0.0000 0.0000

# PBE-GGA CeCdBr6, optimized geometry
# Total DFT energy (no corrections) ... -3.36 eV per atom
# Raw formation energy ... -1249 meV/atom
# Energy above the most stable polymorph in this dataset ... 12 meV/atom
# Crystal system ... trigonal
# Spin magnetization ... 0.00 μB per formula unit
data_CeCdBr6
_chemical_formula_sum 'Ce1 Cd1 Br6'
_cell_length_a 7.0148
_cell_length_b 7.0113
_cell_length_c 7.5859
_cell_angle_alpha 62.47
_cell_angle_beta 62.49
_cell_angle_gamma 59.98
_space_group_name_H-M_alt 'P 1'
_space_group_IT_number 1
loop_
_space_group_symop_operation_xyz
'x,y,z'
loop_
_atom_site_label
_atom_site_fract_x
_atom_site_fract_y
_atom_site_fract_z
Br1 0.4079 0.7523 0.7489
Br2 0.2478 0.9092 0.2509
Br3 0.9092 0.5921 0.2511
Ce1 0.0000 0.0000 0.0000
Br4 0.5921 0.2477 0.2511
Cd1 0.5000 0.5000 0.5000
Br5 0.0908 0.4079 0.7489
Br6 0.7522 0.0908 0.7491

Look up the spin magnetization of the second one. 2.50 μB per formula unit

Which formula does entry 2 have? Ce2CdBr

What did the first record say?
# PBE-GGA Ce2CdBr, optimized geometry
# Total DFT energy (no corrections) ... -4.14 eV per atom
# Raw formation energy ... -529 meV/atom
# Energy above the most stable polymorph in this dataset ... 0 meV/atom
# Crystal system ... tetragonal
# Spin magnetization ... 2.88 μB per formula unit
data_Ce2CdBr
_chemical_formula_sum 'Ce2 Cd1 Br1'
_cell_length_a 3.5116
_cell_length_b 3.5116
_cell_length_c 8.5966
_cell_angle_alpha 90.00
_cell_angle_beta 90.00
_cell_angle_gamma 90.00
_space_group_name_H-M_alt 'P 1'
_space_group_IT_number 1
loop_
_space_group_symop_operation_xyz
'x,y,z'
loop_
_atom_site_label
_atom_site_fract_x
_atom_site_fract_y
_atom_site_fract_z
Cd1 0.5000 0.5000 0.5000
Ce1 0.0000 0.0000 0.7564
Ce2 0.0000 0.0000 0.2436
Br1 0.5000 0.5000 0.0000

What is the total DFT energy (no corrections) in the second record? -4.10 eV per atom